No. 1
A plane-wave DFT calculation with PBE was carried out for a relaxed Nd2F crystal.

Computed properties:
**Polymorph energy (0 for the lowest one)**: 433 meV/atom
**Symmetry**: Fd-3m, No. 227
**DFT total energy**: -25.74 eV for the cell shown

a b c (Å): 7.637 7.637 7.637
angles (deg): 60.00 60.00 60.00
Fractional coordinates of all 6 atoms:
F 0.250 0.250 0.250
F 0.500 0.500 0.500
Nd 0.375 0.875 0.375
Nd 0.375 0.375 0.375
Nd 0.875 0.375 0.375
Nd 0.375 0.375 0.875


No. 2
A plane-wave DFT calculation with PBE was carried out for a relaxed KErNiTe3 crystal.

Computed properties:
**Polymorph energy (0 for the lowest one)**: 0 meV/atom
**Symmetry**: P2_1/m, No. 11
**DFT total energy**: -52.13 eV for the cell shown

a b c (Å): 9.686 4.253 10.225
angles (deg): 90.00 110.72 90.00
Fractional coordinates of all 12 atoms:
Er 0.321 0.750 0.360
Er 0.679 0.250 0.640
K 0.784 0.750 0.246
K 0.216 0.250 0.754
Ni 0.097 0.250 0.119
Ni 0.903 0.750 0.881
Te 0.175 0.750 0.032
Te 0.533 0.250 0.324
Te 0.099 0.250 0.367
Te 0.901 0.750 0.633
Te 0.467 0.750 0.676
Te 0.825 0.250 0.968


No. 3
A plane-wave DFT calculation with PBE was carried out for a relaxed CoHgSbAu crystal.

Computed properties:
**Polymorph energy (0 for the lowest one)**: 0 meV/atom
**Symmetry**: F-43m, No. 216
**DFT total energy**: -13.19 eV for the cell shown

a b c (Å): 4.751 4.751 4.751
angles (deg): 60.00 60.00 60.00
Fractional coordinates of all 4 atoms:
Au 0.250 0.250 0.250
Co 0.750 0.750 0.750
Hg 0.500 0.500 0.500
Sb 0.000 0.000 0.000


No. 4
A plane-wave DFT calculation with PBE was carried out for a relaxed Au6SeCl crystal.

Computed properties:
**Symmetry**: F-43m, No. 216
**DFT total energy**: -20.93 eV for the cell shown

a b c (Å): 6.503 6.503 6.503
angles (deg): 60.00 60.00 60.00
Fractional coordinates of all 8 atoms:
Au 0.715 0.285 0.285
Au 0.285 0.715 0.285
Au 0.715 0.715 0.285
Au 0.285 0.285 0.715
Au 0.715 0.285 0.715
Au 0.285 0.715 0.715
Cl 0.000 0.000 0.000
Se 0.250 0.250 0.250


No. 5
A plane-wave DFT calculation with PBE was carried out for a relaxed RbNdCdTe3 crystal.

Computed properties:
**Symmetry**: C2/m, No. 12
**DFT total energy**: -43.76 eV for the cell shown

a b c (Å): 10.152 10.152 9.956
angles (deg): 103.31 103.31 26.44
Fractional coordinates of all 12 atoms:
Cd 0.516 0.516 0.219
Cd 0.484 0.484 0.781
Nd 0.175 0.175 0.087
Nd 0.825 0.825 0.913
Rb 0.859 0.859 0.432
Rb 0.141 0.141 0.568
Te 0.000 0.000 0.000
Te 0.338 0.338 0.136
Te 0.669 0.669 0.299
Te 0.500 0.500 0.500
Te 0.331 0.331 0.701
Te 0.662 0.662 0.864


No. 6
A plane-wave DFT calculation with PBE was carried out for a relaxed TmScGe crystal.

Computed properties:
**Symmetry**: F-43m, No. 216
**DFT total energy**: -14.45 eV for the cell shown

a b c (Å): 4.827 4.827 4.827
angles (deg): 60.00 60.00 60.00
Fractional coordinates of all 3 atoms:
Ge 0.250 0.250 0.250
Sc 0.750 0.750 0.750
Tm 0.000 0.000 0.000


No. 7
A plane-wave DFT calculation with PBE was carried out for a relaxed CdSiPO crystal.

Computed properties:
**Polymorph energy (0 for the lowest one)**: 424 meV/atom
**Symmetry**: Pmc2_1, No. 26
**DFT total energy**: -37.33 eV for the cell shown

a b c (Å): 3.669 6.194 5.995
angles (deg): 90.00 90.00 90.00
Fractional coordinates of all 8 atoms:
Cd 0.500 0.341 0.032
Cd 0.500 0.659 0.532
O 0.500 0.299 0.416
O 0.500 0.701 0.916
P 0.000 0.862 0.338
P 0.000 0.138 0.838
Si 0.000 0.203 0.468
Si 0.000 0.797 0.968


No. 8
A plane-wave DFT calculation with PBE was carried out for a relaxed Zn2CdBi crystal.

Computed properties:
**Symmetry**: F-43m, No. 216
**DFT total energy**: -6.67 eV for the cell shown

a b c (Å): 5.031 5.031 5.031
angles (deg): 60.00 60.00 60.00
Fractional coordinates of all 4 atoms:
Bi 0.500 0.500 0.500
Cd 0.250 0.250 0.250
Zn 0.000 0.000 0.000
Zn 0.750 0.750 0.750